DFT (GGA-PBE) results for a relaxed TiVOsRu crystal.

* energy relative to the elements: -479 meV per atom
* total magnetic moment: 0.2 μB/f.u.

Unit cell a=3.0363 b=4.2945 c=4.3569 alpha=90.00 beta=90.00 gamma=90.00
Last column: nearest neighbours and their distance in Å.
Sites, in units of the cell vectors:
Ti 0.0000 0.0000 0.0000  4 Ru 2.63, 4 Os 2.66
V 0.0000 0.5000 0.5000  4 Os 2.63, 4 Ru 2.66
Os 0.5000 0.0000 0.5000  4 V 2.63, 4 Ti 2.66
Ru 0.5000 0.5000 0.0000  4 Ti 2.63, 4 V 2.66



DFT (GGA-PBE) results for a relaxed As2PtAu crystal.

* energy relative to the elements: 25 meV per atom
* total magnetic moment: 0.0 μB/f.u.

Unit cell a=7.4172 b=7.4172 c=7.4172 alpha=137.11 beta=137.11 gamma=62.26
Last column: nearest neighbours and their distance in Å.
Sites, in units of the cell vectors:
As 0.1032 0.6250 0.9782  2 Pt 2.43, 2 Au 2.56
As 0.3750 0.3532 0.4782  2 Pt 2.43, 2 Au 2.56
As 0.6468 0.1250 0.0218  2 Pt 2.43, 2 Au 2.56
As 0.8750 0.8968 0.5218  2 Pt 2.43, 2 Au 2.56
Pt 0.0000 0.0000 0.0000  4 As 2.43
Pt 0.7500 0.2500 0.5000  4 As 2.43
Au 0.2500 0.7500 0.5000  4 As 2.56
Au 0.5000 0.5000 0.0000  4 As 2.56



DFT (GGA-PBE) results for a relaxed Y2VRe2 crystal.

* energy relative to the elements: 183 meV per atom
* total magnetic moment: 0.0 μB/f.u.

Unit cell a=6.5394 b=6.5394 c=4.8382 alpha=90.00 beta=90.00 gamma=90.00
Last column: nearest neighbours and their distance in Å.
Sites, in units of the cell vectors:
Y 0.1760 0.3240 0.0000  6 Re 2.99-3.17, 1 Y 3.26
Y 0.3240 0.8240 0.0000  6 Re 2.99-3.17, 1 Y 3.26
Y 0.6760 0.1760 0.0000  6 Re 2.99-3.17, 1 Y 3.26
Y 0.8240 0.6760 0.0000  6 Re 2.99-3.17, 1 Y 3.26
V 0.0000 0.0000 0.5000  4 Re 2.55
V 0.5000 0.5000 0.5000  4 Re 2.55
Re 0.1334 0.6334 0.5000  1 Re 2.47, 2 V 2.55
Re 0.3666 0.1334 0.5000  1 Re 2.47, 2 V 2.55
Re 0.6334 0.8666 0.5000  1 Re 2.47, 2 V 2.55
Re 0.8666 0.3666 0.5000  1 Re 2.47, 2 V 2.55